1.
Computed, not measured: an optimized crystal structure of NiIr3 at the PBE level of DFT.

Results
Space-group type: P4/mmm
E (eV/atom): -8.065
Total magnetic moment (μB per formula unit): 0.00
Energy relative to the elements (eV/atom): 0.026

Lattice parameters (Å, degrees): 2.725 2.725 7.379 90.00 90.00 90.00
Fractional positions:
Ni 0.500 0.500 0.750
Ir 0.000 0.000 0.990
Ir 0.000 0.000 0.510
Ir 0.500 0.500 0.250

2.
Computed, not measured: an optimized crystal structure of Ni2Ir at the PBE level of DFT.

Results
Space-group type: Cmcm
E (eV/atom): -6.793
Total magnetic moment (μB per formula unit): 0.00
Energy above the most stable polymorph in this dataset (eV per formula unit): 0.00
Energy relative to the elements (eV/atom): 0.015

Lattice parameters (Å, degrees): 3.618 5.768 3.675 90.00 90.00 71.72
Fractional positions:
Ir 0.915 0.171 0.250
Ir 0.085 0.829 0.750
Ni 0.585 0.831 0.250
Ni 0.415 0.169 0.750
Ni 0.251 0.497 0.250
Ni 0.749 0.503 0.750

3.
Computed, not measured: an optimized crystal structure of NiIr3 at the PBE level of DFT.

Results
Space-group type: Pm-3n
E (eV/atom): -7.611
Total magnetic moment (μB per formula unit): 0.00
Energy relative to the elements (eV/atom): 0.480

Lattice parameters (Å, degrees): 4.852 4.852 4.852 90.00 90.00 90.00
Fractional positions:
Ni 0.000 0.000 0.000
Ni 0.500 0.500 0.500
Ir 0.000 0.250 0.500
Ir 0.000 0.750 0.500
Ir 0.250 0.500 0.000
Ir 0.500 0.000 0.250
Ir 0.500 0.000 0.750
Ir 0.750 0.500 0.000

4.
Computed, not measured: an optimized crystal structure of Ni2Ir at the PBE level of DFT.

Results
Space-group type: C2/m
E (eV/atom): -6.761
Total magnetic moment (μB per formula unit): 1.22
Energy above the most stable polymorph in this dataset (eV per formula unit): 0.10
Energy relative to the elements (eV/atom): 0.047

Lattice parameters (Å, degrees): 2.657 4.897 6.098 74.91 90.00 74.26
Fractional positions:
Ir 0.614 0.771 0.729
Ir 0.663 0.673 0.327
Ni 0.998 0.004 0.997
Ni 0.336 0.329 0.669
Ni 0.942 0.116 0.387
Ni 0.280 0.440 0.059

5.
Computed, not measured: an optimized crystal structure of NiIr2 at the PBE level of DFT.

Results
Space-group type: P-3m1
E (eV/atom): -7.807
Total magnetic moment (μB per formula unit): 0.50
Energy relative to the elements (eV/atom): 0.028

Lattice parameters (Å, degrees): 2.702 2.702 6.415 90.00 90.00 120.00
Fractional positions:
Ni 0.667 0.333 0.333
Ir 0.000 0.000 0.008
Ir 0.333 0.667 0.658

6.
Computed, not measured: an optimized crystal structure of NiIr3 at the PBE level of DFT.

Results
Space-group type: Pmmm
E (eV/atom): -8.075
Total magnetic moment (μB per formula unit): 0.00
Energy relative to the elements (eV/atom): 0.016

Lattice parameters (Å, degrees): 2.725 3.762 5.360 90.00 90.00 90.00
Fractional positions:
Ni 0.500 0.500 0.250
Ir 0.000 0.000 0.006
Ir 0.000 0.000 0.494
Ir 0.500 0.500 0.750

7.
Computed, not measured: an optimized crystal structure of NiIr2 at the PBE level of DFT.

Results
Space-group type: C2/m
E (eV/atom): -7.784
Total magnetic moment (μB per formula unit): 0.00
Energy relative to the elements (eV/atom): 0.050

Lattice parameters (Å, degrees): 2.727 5.077 6.321 74.91 90.00 105.58
Fractional positions:
Ir 0.000 0.999 0.005
Ir 0.388 0.775 0.726
Ir 0.668 0.336 0.662
Ir 0.056 0.112 0.384
Ni 0.335 0.669 0.332
Ni 0.721 0.442 0.057

8.
Computed, not measured: an optimized crystal structure of NiIr2 at the PBE level of DFT.

Results
Space-group type: Cm
E (eV/atom): -7.775
Total magnetic moment (μB per formula unit): 0.68
Energy relative to the elements (eV/atom): 0.060

Lattice parameters (Å, degrees): 2.723 5.065 6.317 76.72 90.00 105.59
Fractional positions:
Ir 0.999 0.999 0.005
Ir 0.388 0.776 0.725
Ir 0.666 0.333 0.663
Ir 0.334 0.669 0.331
Ni 0.056 0.112 0.386
Ni 0.722 0.444 0.057

9.
Computed, not measured: an optimized crystal structure of NiIr3 at the PBE level of DFT.

Results
Space-group type: C2/m
E (eV/atom): -8.082
Total magnetic moment (μB per formula unit): 0.00
Energy relative to the elements (eV/atom): 0.009

Lattice parameters (Å, degrees): 2.724 4.649 4.624 99.98 90.00 107.03
Fractional positions:
Ni 0.750 0.500 0.250
Ir 0.001 0.002 0.004
Ir 0.499 0.998 0.496
Ir 0.250 0.500 0.750

10.
Computed, not measured: an optimized crystal structure of Ni3Ir4 at the PBE level of DFT.

Results
Space-group type: P6/mmm
E (eV/atom): -7.290
Total magnetic moment (μB per formula unit): 2.66
Energy above the most stable polymorph in this dataset (eV per formula unit): 0.38
Energy relative to the elements (eV/atom): 0.251

Lattice parameters (Å, degrees): 4.608 4.608 5.016 90.00 90.00 120.00
Fractional positions:
Ni 0.000 0.500 0.000
Ni 0.500 0.500 0.000
Ni 0.500 0.000 0.000
Ir 0.000 0.000 0.254
Ir 0.000 0.000 0.746
Ir 0.667 0.333 0.500
Ir 0.333 0.667 0.500

11.
Computed, not measured: an optimized crystal structure of Ni2Ir at the PBE level of DFT.

Results
Space-group type: P-62m
E (eV/atom): -6.671
Total magnetic moment (μB per formula unit): 1.96
Energy above the most stable polymorph in this dataset (eV per formula unit): 0.36
Energy relative to the elements (eV/atom): 0.137

Lattice parameters (Å, degrees): 7.097 7.097 2.603 90.00 90.00 120.00
Fractional positions:
Ni 0.301 0.000 0.000
Ni 0.000 0.301 0.000
Ni 0.699 0.699 0.000
Ni 0.633 0.000 0.500
Ni 0.000 0.633 0.500
Ni 0.367 0.367 0.500
Ir 0.333 0.667 0.000
Ir 0.667 0.333 0.000
Ir 0.000 0.000 0.500

12.
Computed, not measured: an optimized crystal structure of Ni2Ir at the PBE level of DFT.

Results
Space-group type: Immm
E (eV/atom): -6.775
Total magnetic moment (μB per formula unit): 1.76
Energy above the most stable polymorph in this dataset (eV per formula unit): 0.05
Energy relative to the elements (eV/atom): 0.033

Lattice parameters (Å, degrees): 4.461 4.461 4.461 145.77 131.84 60.41
Fractional positions:
Ni 0.666 0.666 0.000
Ni 0.334 0.334 0.000
Ir 0.000 0.000 0.000

13.
Computed, not measured: an optimized crystal structure of Ni17Ir2 at the PBE level of DFT.

Results
Space-group type: R-3m
E (eV/atom): -5.868
Total magnetic moment (μB per formula unit): 12.99
Energy relative to the elements (eV/atom): 0.238

Lattice parameters (Å, degrees): 6.150 6.150 6.150 80.73 80.73 80.73
Fractional positions:
Ni 0.353 0.353 0.844
Ni 0.353 0.844 0.353
Ni 0.095 0.095 0.095
Ni 0.905 0.905 0.905
Ni 0.000 0.000 0.500
Ni 0.500 0.000 0.000
Ni 0.000 0.500 0.000
Ni 0.309 0.691 0.000
Ni 0.000 0.309 0.691
Ni 0.691 0.000 0.309
Ni 0.691 0.309 0.000
Ni 0.000 0.691 0.309
Ni 0.309 0.000 0.691
Ni 0.647 0.156 0.647
Ni 0.647 0.647 0.156
Ni 0.156 0.647 0.647
Ni 0.844 0.353 0.353
Ir 0.694 0.694 0.694
Ir 0.306 0.306 0.306

14.
Computed, not measured: an optimized crystal structure of Ni2Ir at the PBE level of DFT.

Results
Space-group type: P6_3/mmc
E (eV/atom): -6.578
Total magnetic moment (μB per formula unit): 2.28
Energy above the most stable polymorph in this dataset (eV per formula unit): 0.64
Energy relative to the elements (eV/atom): 0.230

Lattice parameters (Å, degrees): 4.167 4.167 5.028 90.00 90.00 120.00
Fractional positions:
Ni 0.000 0.000 0.000
Ni 0.000 0.000 0.500
Ni 0.333 0.667 0.750
Ni 0.667 0.333 0.250
Ir 0.333 0.667 0.250
Ir 0.667 0.333 0.750

15.
Computed, not measured: an optimized crystal structure of Ni13Ir2 at the PBE level of DFT.

Results
Space-group type: P-1
E (eV/atom): -6.098
Total magnetic moment (μB per formula unit): 8.78
Energy above the most stable polymorph in this dataset (eV per formula unit): 0.00
Energy relative to the elements (eV/atom): 0.094

Lattice parameters (Å, degrees): 4.363 6.613 7.905 126.43 100.36 90.77
Fractional positions:
Ni 0.750 0.750 0.246
Ni 0.250 0.250 0.754
Ni 0.000 0.000 0.000
Ni 0.314 0.804 0.435
Ni 0.686 0.196 0.565
Ni 0.064 0.563 0.686
Ni 0.936 0.437 0.314
Ni 0.377 0.378 0.131
Ni 0.623 0.622 0.869
Ni 0.438 0.934 0.813
Ni 0.562 0.066 0.187
Ni 0.812 0.316 0.942
Ni 0.188 0.684 0.058
Ir 0.868 0.868 0.623
Ir 0.132 0.132 0.377

16.
Computed, not measured: an optimized crystal structure of NiIr2 at the PBE level of DFT.

Results
Space-group type: I4_1/amd
E (eV/atom): -7.636
Total magnetic moment (μB per formula unit): 0.00
Energy relative to the elements (eV/atom): 0.198

Lattice parameters (Å, degrees): 11.711 11.711 11.711 166.83 166.83 18.66
Fractional positions:
Ni 0.000 0.000 0.000
Ni 0.750 0.250 0.500
Ir 0.327 0.827 0.500
Ir 0.173 0.673 0.500
Ir 0.577 0.577 0.000
Ir 0.423 0.423 0.000

17.
Computed, not measured: an optimized crystal structure of NiIr4 at the PBE level of DFT.

Results
Space-group type: C2/m
E (eV/atom): -8.123
Total magnetic moment (μB per formula unit): 0.00
Energy above the most stable polymorph in this dataset (eV per formula unit): 0.56
Energy relative to the elements (eV/atom): 0.122

Lattice parameters (Å, degrees): 2.739 4.378 6.887 108.53 113.52 90.02
Fractional positions:
Ni 0.000 0.500 0.000
Ir 0.224 0.113 0.226
Ir 0.866 0.683 0.367
Ir 0.134 0.317 0.633
Ir 0.776 0.887 0.774

18.
Computed, not measured: an optimized crystal structure of Ni7Ir3 at the PBE level of DFT.

Results
Space-group type: C2/m
E (eV/atom): -6.663
Total magnetic moment (μB per formula unit): 3.87
Energy relative to the elements (eV/atom): 0.042

Lattice parameters (Å, degrees): 3.645 5.155 6.816 101.43 105.51 90.00
Fractional positions:
Ni 0.000 0.500 0.000
Ni 0.801 0.904 0.601
Ni 0.199 0.096 0.399
Ni 0.599 0.301 0.197
Ni 0.401 0.699 0.803
Ni 0.598 0.801 0.197
Ni 0.402 0.199 0.803
Ir 0.000 0.000 0.000
Ir 0.801 0.397 0.602
Ir 0.199 0.603 0.398

19.
Computed, not measured: an optimized crystal structure of NiIr2 at the PBE level of DFT.

Results
Space-group type: Cmcm
E (eV/atom): -7.795
Total magnetic moment (μB per formula unit): 0.00
Energy relative to the elements (eV/atom): 0.040

Lattice parameters (Å, degrees): 4.601 4.601 4.394 90.00 90.00 119.90
Fractional positions:
Ir 0.509 0.837 0.250
Ir 0.491 0.163 0.750
Ir 0.837 0.509 0.250
Ir 0.163 0.491 0.750
Ni 0.169 0.169 0.250
Ni 0.831 0.831 0.750

20.
Computed, not measured: an optimized crystal structure of NiIr2 at the PBE level of DFT.

Results
Space-group type: P4/mmm
E (eV/atom): -7.212
Total magnetic moment (μB per formula unit): 0.00
Energy relative to the elements (eV/atom): 0.623

Lattice parameters (Å, degrees): 4.031 4.031 2.795 90.00 90.00 90.00
Fractional positions:
Ir 0.000 0.500 0.500
Ir 0.500 0.000 0.500
Ni 0.000 0.000 0.000